# 1
Material: EuMgPb
Method: DFT, PBE-GGA
State: relaxed

Output
Total energy (eV per atom): -5.4433
V (Å³ per cell): 177.8
Magnetization (μB/cell): 14.3
E_form (eV/atom): -0.251
Crystal system: tetragonal

The structure in CIF format:
```
data_EuMgPb
_chemical_formula_sum 'Eu2 Mg2 Pb2'
_cell_length_a 3.7001
_cell_length_b 3.7001
_cell_length_c 12.9885
_cell_angle_alpha 90.00
_cell_angle_beta 90.00
_cell_angle_gamma 90.00
_space_group_name_H-M_alt 'I 4 m m'
_space_group_IT_number 107
_space_group_name_Hall 'I 4 -2'
loop_
_atom_site_label
_atom_site_fract_x
_atom_site_fract_y
_atom_site_fract_z
_atom_site_occupancy
Eu1 0.0000 0.0000 0.0000 1
Mg1 0.0000 0.0000 0.6839 1
Pb1 0.0000 0.0000 0.3213 1
```

---

# 2
Material: VHgTe2
Method: DFT, PBE-GGA
State: relaxed

Output
Total energy (eV per atom): -4.1520
Formation energy from raw total energies (eV per atom): -0.2261
V (Å³ per cell): 117.5
Magnetization (μB/cell): 0.8
Crystal system: trigonal

The structure in CIF format:
```
data_VHgTe2
_chemical_formula_sum 'V1 Hg1 Te2'
_cell_length_a 3.5853
_cell_length_b 3.5853
_cell_length_c 10.5560
_cell_angle_alpha 90.00
_cell_angle_beta 90.00
_cell_angle_gamma 120.00
_space_group_name_H-M_alt 'P 3 m 1'
_space_group_IT_number 156
_space_group_name_Hall 'P 3 -2"'
loop_
_atom_site_label
_atom_site_fract_x
_atom_site_fract_y
_atom_site_fract_z
_atom_site_occupancy
V1 0.0000 0.0000 0.0000 1
Hg1 0.3333 0.6667 0.4761 1
Te1 0.3333 0.6667 0.8354 1
Te2 0.6667 0.3333 0.1646 1
```

---

# 3
Material: Ac2PmI2N2
Method: DFT, PBE-GGA
State: relaxed

Output
Total energy (eV per atom): -5.8277
Formation energy from raw total energies (eV per atom): -1.1536
V (Å³ per cell): 427.7
Magnetization (μB/cell): 2.0
Crystal system: tetragonal

The structure in CIF format:
```
data_Ac2PmI2N2
_chemical_formula_sum 'Ac4 Pm2 I4 N4'
_cell_length_a 4.7170
_cell_length_b 4.7170
_cell_length_c 19.2217
_cell_angle_alpha 90.00
_cell_angle_beta 90.00
_cell_angle_gamma 90.00
_space_group_name_H-M_alt 'I 4/m m m'
_space_group_IT_number 139
_space_group_name_Hall '-I 4 2'
loop_
_atom_site_label
_atom_site_fract_x
_atom_site_fract_y
_atom_site_fract_z
_atom_site_occupancy
Ac1 0.0000 0.0000 0.0835 1
Pm1 0.0000 0.0000 0.5000 1
I1 0.0000 0.0000 0.3296 1
N1 0.0000 0.5000 0.0000 1
```

---

# 4
Material: KRb2TlBr4
Method: DFT, PBE-GGA
State: relaxed

Output
Total energy (eV per atom): -3.0383
Formation energy from raw total energies (eV per atom): -1.5270
V (Å³ per cell): 323.4
Magnetization (μB/cell): 0.0
Crystal system: monoclinic

The structure in CIF format:
```
data_KRb2TlBr4
_chemical_formula_sum 'K1 Rb2 Tl1 Br4'
_cell_length_a 8.3991
_cell_length_b 4.8564
_cell_length_c 8.4092
_cell_angle_alpha 90.00
_cell_angle_beta 109.46
_cell_angle_gamma 90.00
_space_group_name_H-M_alt 'P 1 2/m 1'
_space_group_IT_number 10
_space_group_name_Hall '-P 2y'
loop_
_atom_site_label
_atom_site_fract_x
_atom_site_fract_y
_atom_site_fract_z
_atom_site_occupancy
K1 0.0000 0.0000 0.0000 1
Rb1 0.5000 0.0000 0.5000 1
Rb2 0.5000 0.5000 0.0000 1
Tl1 0.0000 0.5000 0.5000 1
Br1 0.2398 0.5000 0.2448 1
Br2 0.2409 0.0000 0.7494 1
```

---

# 5
Material: Mn3ZnTc
Method: DFT, PBE-GGA
State: relaxed

Output
Total energy (eV per atom): -6.0424
V (Å³ per cell): 73.4
Magnetization (μB/cell): 0.0
Distance to the lowest polymorph of the same formula (meV/atom): 555
E_form (eV/atom): 1.787
Crystal system: cubic

The structure in CIF format:
```
data_Mn3ZnTc
_chemical_formula_sum 'Mn3 Zn1 Tc1'
_cell_length_a 4.1870
_cell_length_b 4.1870
_cell_length_c 4.1870
_cell_angle_alpha 90.00
_cell_angle_beta 90.00
_cell_angle_gamma 90.00
_space_group_name_H-M_alt 'P m -3 m'
_space_group_IT_number 221
_space_group_name_Hall '-P 4 2 3'
loop_
_atom_site_label
_atom_site_fract_x
_atom_site_fract_y
_atom_site_fract_z
_atom_site_occupancy
Mn1 0.0000 0.0000 0.5000 1
Zn1 0.0000 0.0000 0.0000 1
Tc1 0.5000 0.5000 0.5000 1
```

---

# 6
Material: BaMgScPb2
Method: DFT, PBE-GGA
State: relaxed

Output
Total energy (eV per atom): -3.8655
V (Å³ per cell): 319.1
Magnetization (μB/cell): 0.0
E_form (eV/atom): -0.412
Crystal system: tetragonal

The structure in CIF format:
```
data_BaMgScPb2
_chemical_formula_sum 'Ba2 Mg2 Sc2 Pb4'
_cell_length_a 4.9155
_cell_length_b 4.9155
_cell_length_c 13.2049
_cell_angle_alpha 90.00
_cell_angle_beta 90.00
_cell_angle_gamma 90.00
_space_group_name_H-M_alt 'I -4 m 2'
_space_group_IT_number 119
_space_group_name_Hall 'I -4 -2'
loop_
_atom_site_label
_atom_site_fract_x
_atom_site_fract_y
_atom_site_fract_z
_atom_site_occupancy
Ba1 0.0000 0.0000 0.0000 1
Mg1 0.0000 0.5000 0.2500 1
Sc1 0.0000 0.5000 0.7500 1
Pb1 0.0000 0.0000 0.3783 1
```

---

# 7
Material: Th3Bi5S12
Method: DFT, PBE-GGA
State: relaxed

Output
Total energy (eV per atom): -5.3227
Formation energy from raw total energies (eV per atom): -0.7630
V (Å³ per cell): 4497.3
Magnetization (μB/cell): 0.0
Crystal system: cubic

The structure in CIF format:
```
data_Th3Bi5S12
_chemical_formula_sum 'Th24 Bi40 S96'
_cell_length_a 16.5064
_cell_length_b 16.5064
_cell_length_c 16.5064
_cell_angle_alpha 90.00
_cell_angle_beta 90.00
_cell_angle_gamma 90.00
_space_group_name_H-M_alt 'I a -3 d'
_space_group_IT_number 230
_space_group_name_Hall '-I 4bd 2c 3'
loop_
_atom_site_label
_atom_site_fract_x
_atom_site_fract_y
_atom_site_fract_z
_atom_site_occupancy
Th1 0.0000 0.2500 0.1250 1
Bi1 0.0000 0.0000 0.0000 1
Bi2 0.0000 0.2500 0.3750 1
S1 0.0120 0.0715 0.6549 1
```

---

# 8
Material: CrC2
Method: DFT, PBE-GGA
State: relaxed

Output
Total energy (eV per atom): -8.5483
V (Å³ per cell): 43.0
Magnetization (μB/cell): 0.0
Distance to the lowest polymorph of the same formula (meV/atom): 314
E_form (eV/atom): 0.809
Crystal system: tetragonal

The structure in CIF format:
```
data_CrC2
_chemical_formula_sum 'Cr2 C4'
_cell_length_a 2.6526
_cell_length_b 2.6526
_cell_length_c 6.1125
_cell_angle_alpha 90.00
_cell_angle_beta 90.00
_cell_angle_gamma 90.00
_space_group_name_H-M_alt 'P 4/n m m'
_space_group_IT_number 129
loop_
_space_group_symop_operation_xyz
'x,y,z'
'-x,-y,-z'
'-y+1/2,x,z'
'y+1/2,-x,-z'
'-x+1/2,-y+1/2,z'
'x+1/2,y+1/2,-z'
'y,-x+1/2,z'
'-y,x+1/2,-z'
'x+1/2,-y,-z'
'-x+1/2,y,z'
'-y,-x,-z'
'y,x,z'
'-x,y+1/2,-z'
'x,-y+1/2,z'
'y+1/2,x+1/2,-z'
'-y+1/2,-x+1/2,z'
loop_
_atom_site_label
_atom_site_fract_x
_atom_site_fract_y
_atom_site_fract_z
_atom_site_occupancy
Cr1 0.2500 0.2500 0.2418 1
C1 0.2500 0.2500 0.9046 1
C2 0.2500 0.7500 0.5000 1
```

---

> What is the formula in the eighth record?

CrC2